DFT (PBE) results for a relaxed TmHfGaCo crystal.

Computed properties:
Space-group type: F-43m
Energy (Ry per atom): -0.4728
Energy of formation (eV/atom): -0.29
Total magnetic moment (Bohr magnetons per cell): 0.74

Lattice parameters (Å, degrees): 4.7156 4.7156 4.7156 60.00 60.00 60.00
Fractional coordinates of all 4 atoms:
Co  0.2500  0.2500  0.2500
Tm  0.0000  0.0000  0.0000
Hf  0.5000  0.5000  0.5000
Ga  0.7500  0.7500  0.7500

=====

DFT (PBE) results for a relaxed La5YTl3 crystal.

Computed properties:
Space-group type: P6_3/mcm
Energy (Ry per atom): -0.3338
Energy of formation (eV/atom): -0.30
Total magnetic moment (Bohr magnetons per cell): 1.08

Lattice parameters (Å, degrees): 7.0589 9.7220 9.7214 120.00 90.00 90.00
Fractional coordinates of all 18 atoms:
La  0.0000  0.6667  0.3333
La  0.5000  0.3333  0.6667
La  0.0000  0.3333  0.6667
La  0.5000  0.6667  0.3333
La  0.7500  0.6557  0.6557
La  0.7500  0.0000  0.3443
La  0.7500  0.3443  0.0000
La  0.2500  0.3443  0.3443
La  0.2500  0.0000  0.6557
La  0.2500  0.6557  0.0000
Y  0.0000  0.0000  0.0000
Y  0.5000  0.0000  0.0000
Tl  0.7500  0.3175  0.3175
Tl  0.7500  0.0000  0.6825
Tl  0.7500  0.6824  0.0000
Tl  0.2500  0.6825  0.6825
Tl  0.2500  0.0000  0.3175
Tl  0.2500  0.3176  0.0000